[1]
## Mn2AgBr (PBE)

Data for a relaxed Mn2AgBr crystal.

a = 4.935 Å, b = 4.935 Å, c = 3.172 Å
α = 90.00°, β = 90.00°, γ = 103.14°
Positions (direct):
Mn: 0.000 0.500 0.000
Mn: 0.500 0.000 0.000
Ag: 0.000 0.000 0.500
Br: 0.500 0.500 0.500

## Properties
The calculation puts the density of states at the Fermi level at 3.6 states/eV/f.u. The formation energy without anion corrections is 0.48 eV per atom. As for the symmetry: Cmmm. The magnetization is 8.7 μB per formula unit.

***

[2]
## Mn2AgBr (PBE)

Data for a relaxed Mn2AgBr crystal.

a = 4.686 Å, b = 4.686 Å, c = 4.686 Å
α = 60.00°, β = 60.00°, γ = 60.00°
Positions (direct):
Mn: 0.250 0.250 0.250
Mn: 0.750 0.750 0.750
Ag: 0.000 0.000 0.000
Br: 0.500 0.500 0.500

## Properties
The calculation puts the density of states at the Fermi level at 4.3 states/eV/f.u. The formation energy without anion corrections is 0.59 eV per atom. As for the symmetry: Fm-3m. The magnetization is 7.9 μB per formula unit.

***

[3]
## Mn3AgBr (PBE)

Data for a relaxed Mn3AgBr crystal.

a = 4.537 Å, b = 4.537 Å, c = 4.537 Å
α = 90.00°, β = 90.00°, γ = 90.00°
Positions (direct):
Mn: 0.000 0.000 0.500
Mn: 0.000 0.500 0.000
Mn: 0.500 0.000 0.000
Ag: 0.500 0.500 0.500
Br: 0.000 0.000 0.000

## Properties
The calculation puts the density of states at the Fermi level at 6.6 states/eV/f.u. The formation energy without anion corrections is 1.03 eV per atom. As for the symmetry: Pm-3m. The magnetization is 9.4 μB per formula unit.